## a
This record from Alexandria via LeMat-Bulk describes Sc8AlAg2 after structural relaxation. The functional is GGA-PBE.

```
11
Lattice="-3.028 -0.972 -3.718 0.348 -7.591 1.700 -3.637 4.861 4.910" Properties=species:S:1:pos:R:3 pbc="T T T"
Sc -2.316 -3.101 -0.522
Sc -3.285 2.402 2.047
Sc -1.323 -0.200 1.129
Sc -0.421 -4.899 1.623
Sc -4.994 -3.502 1.763
Sc -3.031 -6.104 0.845
Sc -4.000 -0.600 3.414
Sc -5.895 1.197 1.269
Al -1.514 -0.486 -1.859
Ag -2.128 -2.722 2.445
Ag -4.188 -0.979 0.448
```

## b
This record from Alexandria via LeMat-Bulk describes Sc8AlAg2 after structural relaxation. The functional is GGA-PBE.

```
11
Lattice="4.921 -0.235 -0.353 -1.172 7.827 -0.598 -1.172 -3.566 6.993" Properties=species:S:1:pos:R:3 pbc="T T T"
Sc 2.535 4.427 3.896
Sc 2.535 1.891 5.586
Sc 0.072 2.510 3.767
Sc 1.288 5.225 0.880
Sc 1.288 -1.200 5.161
Sc 2.504 1.515 2.274
Sc 0.041 2.134 0.455
Sc 0.041 -0.402 2.145
Al 2.461 -0.118 -0.177
Ag -1.172 -0.107 4.688
Ag -1.172 4.368 1.706
```

Which is the most stable structure? a is the most stable.

## a
This record from Alexandria via LeMat-Bulk describes AlAgSe after structural relaxation. The functional is GGA-PBE.

```
3
Lattice="-2.289 -2.304 -3.831 -1.227 -1.169 4.728 -1.937 1.957 -0.019" Properties=species:S:1:pos:R:3 pbc="T T T"
Se -2.868 -0.247 1.862
Ag -1.304 1.317 -0.013
Al -3.219 -0.630 -0.991
```

## b
This record from Alexandria via LeMat-Bulk describes AlAgSe after structural relaxation. The functional is GGA-PBE.

```
6
Lattice="4.635 0.000 0.000 0.000 4.635 0.000 0.000 0.000 5.961" Properties=species:S:1:pos:R:3 pbc="T T T"
Se 0.000 2.317 1.535
Se 2.317 0.000 4.426
Ag 0.000 2.317 4.765
Ag 2.317 0.000 1.196
Al 0.000 0.000 2.980
Al 2.317 2.317 2.980
```

## c
This record from Alexandria via LeMat-Bulk describes AlAgSe after structural relaxation. The functional is GGA-PBE.

```
18
Lattice="-5.081 -2.178 0.191 -0.930 -5.466 -6.976 0.882 -8.721 4.093" Properties=species:S:1:pos:R:3 pbc="T T T"
Al -0.498 -6.029 -3.812
Al -4.115 -4.106 -0.527
Al -4.420 -11.319 -1.958
Al -4.675 -6.934 -0.818
Al -2.007 -12.873 -2.361
Al 0.287 -7.708 1.727
Se -4.477 -7.842 -5.811
Se -2.624 -5.015 -4.170
Se -0.870 -8.398 -3.921
Se -0.874 -8.313 -0.378
Se -4.089 -7.659 1.453
Se -2.831 -11.255 1.721
Ag -3.202 -7.620 -2.812
Ag -1.414 -3.008 -0.541
Ag -1.991 -10.338 -1.962
Ag -2.091 -5.863 -0.706
Ag -4.552 -14.001 -2.056
Ag -1.721 -9.001 2.700
```

Which is the most stable structure? c is the most stable.

## a
This record from Alexandria via LeMat-Bulk describes AlAgSe after structural relaxation. The functional is GGA-PBE.

```
3
Lattice="-3.266 1.164 -0.870 0.394 -3.141 1.661 -0.402 2.559 4.934" Properties=species:S:1:pos:R:3 pbc="T T T"
Se -2.292 1.296 2.996
Ag -0.011 0.073 0.141
Al -0.970 -0.787 2.589
```

## b
This record from Alexandria via LeMat-Bulk describes AlAgSe after structural relaxation. The functional is GGA-PBE.

```
3
Lattice="-1.255 -3.149 -2.970 -2.734 -3.345 1.283 -4.253 -0.129 -1.485" Properties=species:S:1:pos:R:3 pbc="T T T"
Se 0.000 0.000 0.000
Ag -4.121 -3.312 -1.586
Al -6.181 -4.967 -2.379
```

## c
This record from Alexandria via LeMat-Bulk describes AlAgSe after structural relaxation. The functional is GGA-PBE.

```
3
Lattice="-5.613 -3.062 0.658 -3.379 -5.462 0.266 -0.204 -0.716 3.218" Properties=species:S:1:pos:R:3 pbc="T T T"
Se -6.514 -6.323 1.570
Ag -8.686 -8.252 1.003
Al -2.988 -3.189 2.491
```

Which is the most stable structure? a is the most stable.

## a
This record from Alexandria via LeMat-Bulk describes Al2Si2Ag after structural relaxation. The functional is GGA-PBE.

```
5
Lattice="4.240 0.000 0.000 0.000 4.240 0.000 2.120 2.120 5.068" Properties=species:S:1:pos:R:3 pbc="T T T"
Si 2.120 2.120 1.149
Si 4.240 4.240 3.920
Al 4.240 2.120 2.534
Al 2.120 4.240 2.534
Ag 0.000 0.000 0.000
```

## b
This record from Alexandria via LeMat-Bulk describes Al2Si2Ag after structural relaxation. The functional is GGA-PBE.

```
10
Lattice="-2.985 -4.641 5.422 5.441 -5.283 -1.526 1.663 1.161 1.910" Properties=species:S:1:pos:R:3 pbc="T T T"
Si 3.572 -6.079 0.587
Si 1.029 -7.381 3.592
Si -1.115 -3.844 3.309
Si 1.427 -2.543 0.304
Al 3.907 -3.493 0.754
Al 3.564 -6.930 3.143
Al 0.213 -5.269 5.051
Al 0.555 -1.832 2.663
Ag 0.000 0.000 0.000
Ag 1.228 -4.962 1.948
```

Which is the most stable structure? a is the most stable.